(1)
First-principles (PBE with a Hubbard U) data for Li2Tl2CrF6 after structural relaxation, as listed in Alexandria via LeMat-Bulk.

Cell lengths 6.0284, 6.0284, 6.6249 Å; angles 62.94, 62.94, 60.00 degrees
Last column: nearest neighbours and their distance in Å.
Atoms (fractional coordinates):
Li (0.4079, 0.4079, 0.7764)  3 F 1.82
Li (0.5921, 0.5921, 0.2236)  3 F 1.82
Tl (0.7895, 0.7895, 0.6315)  9 F 2.79-3.11
Tl (0.2105, 0.2105, 0.3685)  9 F 2.79-3.11
Cr (0.0000, 0.0000, 0.0000)  6 F 2.12
F (0.7630, 0.7630, 0.2333)  1 Li 1.82
F (0.2408, 0.7630, 0.2333)  1 Li 1.82
F (0.7630, 0.2408, 0.2333)  1 Li 1.82
F (0.2370, 0.7592, 0.7667)  1 Li 1.82
F (0.7592, 0.2370, 0.7667)  1 Li 1.82
F (0.2370, 0.2370, 0.7667)  1 Li 1.82

Crystal system ... trigonal
N(E_F) ... 5.04 states/eV/f.u.
Space-group type ... R-3m, No. 166
DFT total energy ... -4.7836 eV per atom
Size of the total moment ... 4.00 Bohr magnetons per cell
ρ ... 5.5 g/cm3

=====

(2)
First-principles (PBE with a Hubbard U) data for LiTmCrF6 after structural relaxation, as listed in Alexandria via LeMat-Bulk.

Cell lengths 5.4360, 5.4360, 9.0796 Å; angles 90.00, 90.00, 120.00 degrees
Last column: nearest neighbours and their distance in Å.
Atoms (fractional coordinates):
Li (0.0000, 0.0000, 0.0000)  6 F 2.16
Li (0.0000, 0.0000, 0.5000)  6 F 2.16
Tm (0.3333, 0.6667, 0.2500)  6 F 2.16
Tm (0.6667, 0.3333, 0.7500)  6 F 2.16
Cr (0.6667, 0.3333, 0.2500)  6 F 2.08
Cr (0.3333, 0.6667, 0.7500)  6 F 2.08
F (0.6715, 0.6589, 0.1282)  1 Cr 2.08, 1 Li 2.16, 1 Tm 2.16
F (0.9874, 0.3285, 0.1282)  1 Cr 2.08, 1 Li 2.16, 1 Tm 2.16
F (0.3285, 0.9874, 0.6282)  1 Cr 2.08, 1 Li 2.16, 1 Tm 2.16
F (0.0126, 0.6715, 0.8718)  1 Cr 2.08, 1 Li 2.16, 1 Tm 2.16
F (0.3411, 0.3285, 0.3718)  1 Cr 2.08, 1 Li 2.16, 1 Tm 2.16
F (0.9874, 0.6589, 0.3718)  1 Cr 2.08, 1 Li 2.16, 1 Tm 2.16
F (0.6589, 0.9874, 0.8718)  1 Cr 2.08, 1 Li 2.16, 1 Tm 2.16
F (0.6715, 0.0126, 0.3718)  1 Cr 2.08, 1 Li 2.16, 1 Tm 2.16
F (0.0126, 0.3411, 0.6282)  1 Cr 2.08, 1 Li 2.16, 1 Tm 2.16
F (0.3411, 0.0126, 0.1282)  1 Cr 2.08, 1 Li 2.16, 1 Tm 2.16
F (0.6589, 0.6715, 0.6282)  1 Cr 2.08, 1 Li 2.16, 1 Tm 2.16
F (0.3285, 0.3411, 0.8718)  1 Cr 2.08, 1 Li 2.16, 1 Tm 2.16

Crystal system ... trigonal
N(E_F) ... 6.38 states/eV/f.u.
Space-group type ... P-31c, No. 163
DFT total energy ... -5.8206 eV per atom
Size of the total moment ... 4.00 Bohr magnetons per cell
ρ ... 4.9 g/cm3